Version w
Computed, not measured: crystalline CeCrS2O at its relaxed geometry at the GGA+U level of DFT.

a b c (Å): 3.7674 3.7674 12.5598
angles (deg): 90.00 90.00 90.00
Sites, in units of the cell vectors:
Cr1 0.5000 0.0000 0.0991
Cr2 0.0000 0.5000 0.9009
S1 0.0000 0.5000 0.0945
S2 0.5000 0.0000 0.9055
S3 0.5000 0.0000 0.2916
S4 0.0000 0.5000 0.7084
Ce1 0.5000 0.0000 0.6070
Ce2 0.0000 0.5000 0.3930
O1 0.0000 0.0000 0.5000
O2 0.5000 0.5000 0.5000

magnetic moment = 4.09 Bohr magnetons per cell

Version x
Computed, not measured: crystalline CeCrS2O at its relaxed geometry at the GGA+U level of DFT.

a b c (Å): 5.9687 5.9687 8.0441
angles (deg): 89.81 89.81 36.80
Sites, in units of the cell vectors:
Ce1 0.2641 0.2641 0.7064
Ce2 0.7359 0.7359 0.2936
S1 0.4493 0.4493 0.2962
S2 0.1408 0.1408 0.0356
S3 0.5507 0.5507 0.7038
S4 0.8592 0.8592 0.9644
Cr1 0.0000 0.0000 0.5000
Cr2 0.5000 0.5000 0.0000
O1 0.1730 0.1730 0.4330
O2 0.8270 0.8270 0.5670

magnetic moment = 8.02 Bohr magnetons per cell

Stability verdict: version x, ahead by 0.280 eV/atom

Version w
Computed, not measured: crystalline CeCrSe2O at its relaxed geometry at the GGA+U level of DFT.

a b c (Å): 3.9195 6.0987 8.4043
angles (deg): 90.56 90.00 108.74
Sites, in units of the cell vectors:
Cr1 0.5000 0.0000 0.0000
Cr2 0.0000 0.0000 0.5000
Ce1 0.7715 0.5430 0.1920
Ce2 0.2285 0.4571 0.8080
O1 0.6722 0.3444 0.9374
O2 0.3278 0.6556 0.0626
Se1 0.6453 0.2906 0.5366
Se2 0.3546 0.7093 0.4633
Se3 0.0532 0.1065 0.2043
Se4 0.9468 0.8935 0.7957

magnetic moment = 8.01 Bohr magnetons per cell

Version x
Computed, not measured: crystalline CeCrSe2O at its relaxed geometry at the GGA+U level of DFT.

a b c (Å): 3.8820 3.8820 13.3030
angles (deg): 90.00 90.00 90.00
Sites, in units of the cell vectors:
O1 0.5000 0.5000 0.5000
O2 0.0000 0.0000 0.5000
Ce1 0.0000 0.5000 0.4028
Ce2 0.5000 0.0000 0.5972
Cr1 0.5000 0.0000 0.0999
Cr2 0.0000 0.5000 0.9001
Se1 0.0000 0.5000 0.0941
Se2 0.5000 0.0000 0.9059
Se3 0.5000 0.0000 0.2947
Se4 0.0000 0.5000 0.7053

magnetic moment = 8.08 Bohr magnetons per cell

Stability verdict: version x, ahead by 0.030 eV/atom